# 1
Here is Pm2Nd5Dy3 after structural relaxation from Alexandria. Energies are from PBE.

Lattice parameters (Å, degrees): 12.5202 12.5202 12.5202 135.50 55.83 148.04
Closest atoms and distances in Å follow each position.
Sites, in units of the cell vectors:
Pm1 0.1213 0.0972 0.2185  1 Nd 2.92, 1 Dy 3.26
Pm2 0.3787 0.5972 0.9760  1 Nd 2.92, 1 Dy 3.26
Pm3 0.6213 0.4028 0.0240  1 Nd 2.92, 1 Dy 3.26
Pm4 0.8787 0.9028 0.7815  1 Nd 2.92, 1 Dy 3.26
Nd1 0.0028 0.2500 0.7528  4 Nd 3.40-3.45, 2 Pm 3.40
Nd2 0.1271 0.4045 0.5316  1 Pm 2.92
Nd3 0.2500 0.7500 0.5000  6 Nd 3.42-3.45
Nd4 0.3729 0.9045 0.2773  1 Pm 2.92
Nd5 0.4972 0.2500 0.2472  4 Nd 3.40-3.45, 2 Pm 3.40
Nd6 0.5028 0.7500 0.7528  4 Nd 3.40-3.45, 2 Pm 3.40
Nd7 0.6271 0.0955 0.7227  1 Pm 2.92
Nd8 0.7500 0.2500 0.5000  6 Nd 3.42-3.45
Nd9 0.8729 0.5955 0.4684  1 Pm 2.92
Nd10 0.9972 0.7500 0.2472  4 Nd 3.40-3.45, 2 Pm 3.40
Dy1 0.1195 0.7530 0.8725  1 Pm 3.26, 1 Nd 3.31
Dy2 0.2500 0.2500 0.0000  4 Pm 3.32, 2 Dy 3.45
Dy3 0.3805 0.2530 0.6335  1 Pm 3.26, 1 Nd 3.31
Dy4 0.6195 0.7470 0.3665  1 Pm 3.26, 1 Nd 3.31
Dy5 0.7500 0.7500 0.0000  4 Pm 3.32, 2 Dy 3.45
Dy6 0.8805 0.2470 0.1275  1 Pm 3.26, 1 Nd 3.31

Computed properties:
- Energy above the most stable polymorph in this dataset: 180.6 meV per atom
- Energy of formation from the pure elements: 362.8 meV/atom
- Fermi-level density of states: 29.87 states/eV per cell



# 2
Here is Pm5Nd2Dy after structural relaxation from Alexandria. Energies are from PBE.

Lattice parameters (Å, degrees): 7.2913 14.5954 5.1420 90.00 90.00 90.00
Closest atoms and distances in Å follow each position.
Sites, in units of the cell vectors:
Pm1 0.0000 0.0000 0.0000  6 Pm 3.63-3.66, 4 Nd 3.64, 2 Dy 3.65
Pm2 0.0013 0.2510 0.0000  1 Dy 3.63, 7 Pm 3.64-3.66, 4 Nd 3.64-3.65
Pm3 0.2492 0.8756 0.5000  4 Nd 3.63-3.67, 6 Pm 3.63-3.65, 2 Dy 3.64
Pm4 0.2508 0.3756 0.5000  4 Nd 3.63-3.67, 6 Pm 3.63-3.65, 2 Dy 3.64
Pm5 0.4987 0.7510 0.0000  1 Dy 3.63, 7 Pm 3.64-3.66, 4 Nd 3.64-3.65
Pm6 0.5000 0.5000 0.0000  6 Pm 3.63-3.66, 4 Nd 3.64, 2 Dy 3.65
Pm7 0.5013 0.2490 0.0000  1 Dy 3.63, 7 Pm 3.64-3.66, 4 Nd 3.64-3.65
Pm8 0.7492 0.6244 0.5000  4 Nd 3.63-3.67, 6 Pm 3.63-3.65, 2 Dy 3.64
Pm9 0.7508 0.1244 0.5000  4 Nd 3.63-3.67, 6 Pm 3.63-3.65, 2 Dy 3.64
Pm10 0.9987 0.7490 0.0000  1 Dy 3.63, 7 Pm 3.64-3.66, 4 Nd 3.64-3.65
Nd1 0.2488 0.6244 0.5000  10 Pm 3.63-3.67, 2 Dy 3.63
Nd2 0.2512 0.1244 0.5000  10 Pm 3.63-3.67, 2 Dy 3.63
Nd3 0.7488 0.8756 0.5000  10 Pm 3.63-3.67, 2 Dy 3.63
Nd4 0.7512 0.3756 0.5000  10 Pm 3.63-3.67, 2 Dy 3.63
Dy1 0.0000 0.5000 0.0000  4 Nd 3.63, 8 Pm 3.63-3.65
Dy2 0.5000 0.0000 0.0000  4 Nd 3.63, 8 Pm 3.63-3.65

Computed properties:
- Energy above the most stable polymorph in this dataset: 0.0 meV per atom
- Energy of formation from the pure elements: 14.1 meV/atom
- Fermi-level density of states: 24.04 states/eV per cell



# 3
Here is Pm7NdDy2 after structural relaxation from Alexandria. Energies are from PBE.

Lattice parameters (Å, degrees): 10.4244 10.4244 3.5092 90.00 90.00 109.17
Closest atoms and distances in Å follow each position.
Sites, in units of the cell vectors:
Pm1 0.0000 0.0000 0.0000  10 Pm 3.47-3.69
Pm2 0.1123 0.3750 0.0000  1 Dy 3.16, 4 Pm 3.51
Pm3 0.1760 0.8240 0.5000  2 Dy 3.16, 8 Pm 3.47-3.51
Pm4 0.3750 0.1123 0.0000  1 Dy 3.16, 4 Pm 3.51
Pm5 0.6250 0.8877 0.0000  1 Dy 3.16, 4 Pm 3.51
Pm6 0.8240 0.1760 0.5000  2 Dy 3.16, 8 Pm 3.47-3.51
Pm7 0.8877 0.6250 0.0000  1 Dy 3.16, 4 Pm 3.51
Nd1 0.5000 0.5000 0.5000  4 Dy 3.37, 2 Nd 3.51
Dy1 0.3306 0.6694 0.0000  4 Pm 3.16, 2 Nd 3.37, 2 Dy 3.51
Dy2 0.6694 0.3306 0.0000  4 Pm 3.16, 2 Nd 3.37, 2 Dy 3.51

Computed properties:
- Energy above the most stable polymorph in this dataset: 0.0 meV per atom
- Energy of formation from the pure elements: 385.0 meV/atom
- Fermi-level density of states: 15.79 states/eV per cell



# 4
Here is Pm4Nd2Dy5 after structural relaxation from Alexandria. Energies are from PBE.

Lattice parameters (Å, degrees): 12.1905 12.1905 8.8346 96.57 96.57 16.42
Closest atoms and distances in Å follow each position.
Sites, in units of the cell vectors:
Pm1 0.0459 0.0459 0.3584  2 Nd 3.30-3.42, 3 Dy 3.33-3.67, 5 Pm 3.48-3.68
Pm2 0.3211 0.3211 0.5294  6 Pm 3.48-3.83, 5 Dy 3.58-3.71, 2 Nd 3.80
Pm3 0.6789 0.6789 0.4706  6 Pm 3.48-3.83, 5 Dy 3.58-3.71, 2 Nd 3.80
Pm4 0.9541 0.9541 0.6416  2 Nd 3.30-3.42, 3 Dy 3.33-3.67, 5 Pm 3.48-3.68
Nd1 0.0903 0.0903 0.7397  2 Pm 3.30-3.42, 2 Dy 3.42-3.43, 2 Nd 3.48
Nd2 0.9097 0.9097 0.2603  2 Pm 3.30-3.42, 2 Dy 3.42-3.43, 2 Nd 3.48
Dy1 0.1419 0.1419 0.1168  3 Pm 3.33-3.60, 1 Nd 3.42, 5 Dy 3.48-3.54
Dy2 0.2325 0.2325 0.8283  1 Nd 3.43, 7 Dy 3.48-3.54, 3 Pm 3.58-3.71
Dy3 0.5000 0.5000 0.0000  6 Dy 3.48-3.87, 4 Pm 3.67, 4 Nd 3.77
Dy4 0.7675 0.7675 0.1717  1 Nd 3.43, 7 Dy 3.48-3.54, 3 Pm 3.58-3.71
Dy5 0.8581 0.8581 0.8832  3 Pm 3.33-3.60, 1 Nd 3.42, 5 Dy 3.48-3.54

Computed properties:
- Energy above the most stable polymorph in this dataset: 0.0 meV per atom
- Energy of formation from the pure elements: 143.2 meV/atom
- Fermi-level density of states: 19.75 states/eV per cell



# 5
Here is PmNd6Dy6 after structural relaxation from Alexandria. Energies are from PBE.

Lattice parameters (Å, degrees): 6.7431 6.7431 11.4742 90.00 90.00 120.00
Closest atoms and distances in Å follow each position.
Sites, in units of the cell vectors:
Pm1 0.0000 0.0000 0.0000  8 Nd 3.89-3.99
Nd1 0.0000 0.0000 0.3478  1 Nd 3.49, 6 Dy 3.56
Nd2 0.0000 0.0000 0.6522  1 Nd 3.49, 6 Dy 3.56
Nd3 0.3333 0.6667 0.0000  6 Dy 3.45
Nd4 0.3333 0.6667 0.5000  6 Dy 3.49, 3 Nd 3.89
Nd5 0.6667 0.3333 0.0000  6 Dy 3.45
Nd6 0.6667 0.3333 0.5000  6 Dy 3.49, 3 Nd 3.89
Dy1 0.0000 0.5000 0.2481  4 Dy 3.37, 6 Nd 3.45-3.56
Dy2 0.0000 0.5000 0.7519  4 Dy 3.37, 6 Nd 3.45-3.56
Dy3 0.5000 0.0000 0.2481  4 Dy 3.37, 6 Nd 3.45-3.56
Dy4 0.5000 0.0000 0.7519  4 Dy 3.37, 6 Nd 3.45-3.56
Dy5 0.5000 0.5000 0.2481  4 Dy 3.37, 6 Nd 3.45-3.56
Dy6 0.5000 0.5000 0.7519  4 Dy 3.37, 6 Nd 3.45-3.56

Computed properties:
- Energy of formation from the pure elements: 257.7 meV/atom
- Fermi-level density of states: 27.22 states/eV per cell



# 6
Here is PmNd7Dy12 after structural relaxation from Alexandria. Energies are from PBE.

Lattice parameters (Å, degrees): 8.8150 8.8150 8.8150 86.12 86.12 86.12
Closest atoms and distances in Å follow each position.
Sites, in units of the cell vectors:
Pm1 0.0000 0.0000 0.0000  6 Dy 3.45
Nd1 0.0767 0.1559 0.3985  7 Dy 3.48-3.85, 3 Nd 3.48-3.50
Nd2 0.1559 0.3985 0.0767  7 Dy 3.48-3.85, 3 Nd 3.48-3.50
Nd3 0.3985 0.0767 0.1559  7 Dy 3.48-3.85, 3 Nd 3.48-3.50
Nd4 0.5000 0.5000 0.5000  6 Dy 3.33
Nd5 0.6015 0.9233 0.8441  7 Dy 3.48-3.85, 3 Nd 3.48-3.50
Nd6 0.8441 0.6015 0.9233  7 Dy 3.48-3.85, 3 Nd 3.48-3.50
Nd7 0.9233 0.8441 0.6015  7 Dy 3.48-3.85, 3 Nd 3.48-3.50
Dy1 0.1333 0.4958 0.6187  5 Dy 3.25-3.62, 2 Nd 3.33-3.48
Dy2 0.1471 0.7448 0.2750  4 Dy 3.26-3.62, 1 Pm 3.45, 2 Nd 3.50-3.61
Dy3 0.2552 0.7250 0.8529  4 Dy 3.26-3.62, 1 Pm 3.45, 2 Nd 3.50-3.61
Dy4 0.2750 0.1471 0.7448  4 Dy 3.26-3.62, 1 Pm 3.45, 2 Nd 3.50-3.61
Dy5 0.3813 0.8667 0.5042  5 Dy 3.25-3.62, 2 Nd 3.33-3.48
Dy6 0.4958 0.6187 0.1333  5 Dy 3.25-3.62, 2 Nd 3.33-3.48
Dy7 0.5042 0.3813 0.8667  5 Dy 3.25-3.62, 2 Nd 3.33-3.48
Dy8 0.6187 0.1333 0.4958  5 Dy 3.25-3.62, 2 Nd 3.33-3.48
Dy9 0.7250 0.8529 0.2552  4 Dy 3.26-3.62, 1 Pm 3.45, 2 Nd 3.50-3.61
Dy10 0.7448 0.2750 0.1471  4 Dy 3.26-3.62, 1 Pm 3.45, 2 Nd 3.50-3.61
Dy11 0.8529 0.2552 0.7250  4 Dy 3.26-3.62, 1 Pm 3.45, 2 Nd 3.50-3.61
Dy12 0.8667 0.5042 0.3813  5 Dy 3.25-3.62, 2 Nd 3.33-3.48

Computed properties:
- Energy above the most stable polymorph in this dataset: 0.0 meV per atom
- Energy of formation from the pure elements: 229.9 meV/atom
- Fermi-level density of states: 36.71 states/eV per cell



# 7
Here is Pm2Nd3Dy after structural relaxation from Alexandria. Energies are from PBE.

Lattice parameters (Å, degrees): 8.5705 3.7371 13.0005 90.00 90.01 90.00
Closest atoms and distances in Å follow each position.
Sites, in units of the cell vectors:
Pm1 0.0850 0.2500 0.1095  2 Dy 3.53, 6 Nd 3.62-3.78, 4 Pm 3.70-3.74
Pm2 0.3499 0.7500 0.5535  2 Dy 3.44, 4 Pm 3.47-3.74, 5 Nd 3.62-3.84
Pm3 0.6501 0.2500 0.4465  2 Dy 3.44, 4 Pm 3.47-3.74, 5 Nd 3.62-3.84
Pm4 0.9150 0.7500 0.8905  2 Dy 3.53, 6 Nd 3.62-3.78, 4 Pm 3.70-3.74
Nd1 0.0864 0.2500 0.3901  2 Dy 3.52, 4 Pm 3.62-3.81, 6 Nd 3.71-3.74
Nd2 0.3483 0.7500 0.9454  2 Dy 3.44, 6 Nd 3.50-3.85, 3 Pm 3.62-3.78
Nd3 0.3954 0.7500 0.2506  1 Dy 3.55, 6 Nd 3.71-3.85, 5 Pm 3.73-3.96
Nd4 0.6046 0.2500 0.7494  1 Dy 3.55, 6 Nd 3.71-3.85, 5 Pm 3.73-3.96
Nd5 0.6517 0.2500 0.0546  2 Dy 3.44, 6 Nd 3.50-3.85, 3 Pm 3.62-3.78
Nd6 0.9136 0.7500 0.6099  2 Dy 3.52, 4 Pm 3.62-3.81, 6 Nd 3.71-3.74
Dy1 0.1908 0.2500 0.7492  5 Nd 3.44-3.55, 4 Pm 3.44-3.53, 2 Dy 3.74
Dy2 0.8092 0.7500 0.2508  5 Nd 3.44-3.55, 4 Pm 3.44-3.53, 2 Dy 3.74

Computed properties:
- Energy above the most stable polymorph in this dataset: 0.0 meV per atom
- Energy of formation from the pure elements: 51.5 meV/atom
- Fermi-level density of states: 18.29 states/eV per cell



# 8
Here is Pm8Nd3Dy4 after structural relaxation from Alexandria. Energies are from PBE.

Lattice parameters (Å, degrees): 9.3093 9.3093 6.9163 111.71 111.71 82.16
Closest atoms and distances in Å follow each position.
Sites, in units of the cell vectors:
Pm1 0.2045 0.2045 0.2067  4 Pm 3.49-3.54, 2 Nd 3.55, 3 Dy 3.56-3.61
Pm2 0.2047 0.7953 0.0000  4 Pm 3.51-3.54, 3 Dy 3.55-3.61, 2 Nd 3.56
Pm3 0.2529 0.2529 0.7576  1 Dy 3.02, 1 Nd 3.09
Pm4 0.2528 0.7472 0.5000  1 Dy 3.02, 1 Nd 3.09
Pm5 0.7472 0.2528 0.5000  1 Dy 3.02, 1 Nd 3.09
Pm6 0.7471 0.7471 0.2424  1 Dy 3.02, 1 Nd 3.09
Pm7 0.7953 0.2047 0.0000  4 Pm 3.51-3.54, 3 Dy 3.55-3.61, 2 Nd 3.56
Pm8 0.7955 0.7955 0.7933  4 Pm 3.49-3.54, 2 Nd 3.55, 3 Dy 3.56-3.61
Nd1 0.0000 0.0000 0.5000  4 Pm 3.09
Nd2 0.0000 0.5000 0.5000  2 Dy 3.46, 8 Pm 3.51-3.56
Nd3 0.5000 0.0000 0.5000  2 Dy 3.46, 8 Pm 3.51-3.56
Dy1 0.0000 0.5000 0.0000  2 Nd 3.46, 8 Pm 3.50-3.56
Dy2 0.5000 0.0000 0.0000  2 Nd 3.46, 8 Pm 3.50-3.56
Dy3 0.5000 0.5000 0.0000  2 Pm 3.02
Dy4 0.5000 0.5000 0.5000  2 Pm 3.02

Computed properties:
- Energy of formation from the pure elements: 331.8 meV/atom
- Fermi-level density of states: 23.97 states/eV per cell



# 9
Here is Pm2Nd7Dy2 after structural relaxation from Alexandria. Energies are from PBE.

Lattice parameters (Å, degrees): 8.2043 8.2043 6.1464 105.52 105.52 89.84
Closest atoms and distances in Å follow each position.
Sites, in units of the cell vectors:
Pm1 0.0775 0.0775 0.3001  2 Pm 3.44-3.55, 6 Nd 3.54-3.84, 2 Dy 3.69
Pm2 0.9225 0.9225 0.6999  2 Pm 3.44-3.55, 6 Nd 3.54-3.84, 2 Dy 3.69
Nd1 0.0885 0.5494 0.3228  3 Nd 3.19-3.42, 2 Dy 3.40-3.53
Nd2 0.2715 0.2715 0.9035  5 Nd 3.42-3.62, 2 Pm 3.54-3.77, 2 Dy 3.55
Nd3 0.4506 0.9115 0.6772  3 Nd 3.19-3.42, 2 Dy 3.40-3.53
Nd4 0.5000 0.5000 0.5000  6 Nd 3.32-3.62
Nd5 0.5494 0.0885 0.3228  3 Nd 3.19-3.42, 2 Dy 3.40-3.53
Nd6 0.7285 0.7285 0.0965  5 Nd 3.42-3.62, 2 Pm 3.54-3.77, 2 Dy 3.55
Nd7 0.9115 0.4506 0.6772  3 Nd 3.19-3.42, 2 Dy 3.40-3.53
Dy1 0.2817 0.7183 0.0000  6 Nd 3.40-3.55, 2 Pm 3.69
Dy2 0.7183 0.2817 0.0000  6 Nd 3.40-3.55, 2 Pm 3.69

Computed properties:
- Energy above the most stable polymorph in this dataset: 45.3 meV per atom
- Energy of formation from the pure elements: 136.2 meV/atom
- Fermi-level density of states: 15.42 states/eV per cell



Values of theoretical density, in order: 6.88, 7.14, 6.84, 7.57, 7.30, 7.58, 7.06, 7.20, 7.04, all in Mg/m³.